Entry 1:
# BeAgIr2 (PBE, relaxed)
# Formation energy   0.22 eV per atom
data_BeAgIr2
_chemical_formula_sum 'Be2 Ag2 Ir4'
_symmetry_space_group_name_H-M 'I m m 2'
_symmetry_Int_Tables_number 44
_symmetry_space_group_name_Hall 'I 2 -2'
_cell_length_a 2.840
_cell_length_b 4.468
_cell_length_c 8.650
_cell_angle_alpha 90.00
_cell_angle_beta 90.00
_cell_angle_gamma 90.00
loop_
_atom_site_label
_atom_site_fract_x
_atom_site_fract_y
_atom_site_fract_z
Be1 0.000 0.000 0.000
Ag1 0.000 0.500 0.274
Ir1 0.000 0.000 0.482
Ir2 0.000 0.500 0.713

Entry 2:
# Be2AgIr (PBE, relaxed)
# Formation energy   0.30 eV per atom
data_Be2AgIr
_chemical_formula_sum 'Be8 Ag4 Ir4'
_symmetry_space_group_name_H-M 'F -4 3 m'
_symmetry_Int_Tables_number 216
_symmetry_space_group_name_Hall 'F -4 2 3'
_cell_length_a 5.920
_cell_length_b 5.920
_cell_length_c 5.920
_cell_angle_alpha 90.00
_cell_angle_beta 90.00
_cell_angle_gamma 90.00
loop_
_atom_site_label
_atom_site_fract_x
_atom_site_fract_y
_atom_site_fract_z
Be1 0.000 0.000 0.000
Be2 0.250 0.250 0.250
Ag1 0.250 0.250 0.750
Ir1 0.000 0.000 0.500

Entry 3:
# MnBeAg2Ir (PBE, relaxed)
# Formation energy   1.48 eV per atom
data_MnBeAg2Ir
_chemical_formula_sum 'Mn1 Be1 Ag2 Ir1'
_symmetry_space_group_name_H-M 'P 4/m m m'
_symmetry_Int_Tables_number 123
_symmetry_space_group_name_Hall '-P 4 2'
_cell_length_a 4.713
_cell_length_b 4.713
_cell_length_c 4.015
_cell_angle_alpha 90.00
_cell_angle_beta 90.00
_cell_angle_gamma 90.00
loop_
_atom_site_label
_atom_site_fract_x
_atom_site_fract_y
_atom_site_fract_z
Mn1 0.000 0.000 0.000
Be1 0.000 0.000 0.500
Ag1 0.000 0.500 0.000
Ir1 0.500 0.500 0.500

Entry 4:
# BeAg2MoIr (PBE, relaxed)
# Formation energy   1.38 eV per atom
data_BeAg2MoIr
_chemical_formula_sum 'Be1 Ag2 Mo1 Ir1'
_symmetry_space_group_name_H-M 'P 4/m m m'
_symmetry_Int_Tables_number 123
_symmetry_space_group_name_Hall '-P 4 2'
_cell_length_a 5.052
_cell_length_b 5.052
_cell_length_c 4.082
_cell_angle_alpha 90.00
_cell_angle_beta 90.00
_cell_angle_gamma 90.00
loop_
_atom_site_label
_atom_site_fract_x
_atom_site_fract_y
_atom_site_fract_z
Be1 0.000 0.000 0.000
Ag1 0.000 0.500 0.500
Mo1 0.500 0.500 0.000
Ir1 0.000 0.000 0.500

Entry 5:
# BeAgIrO2 (PBE, relaxed)
# Formation energy from raw total energies   0.099 eV per atom
data_BeAgIrO2
_chemical_formula_sum 'Be1 Ag1 Ir1 O2'
_symmetry_space_group_name_H-M 'P 4/m m m'
_symmetry_Int_Tables_number 123
_symmetry_space_group_name_Hall '-P 4 2'
_cell_length_a 3.683
_cell_length_b 3.683
_cell_length_c 6.159
_cell_angle_alpha 90.00
_cell_angle_beta 90.00
_cell_angle_gamma 90.00
loop_
_atom_site_label
_atom_site_fract_x
_atom_site_fract_y
_atom_site_fract_z
Be1 0.000 0.000 0.000
Ag1 0.500 0.500 0.000
Ir1 0.500 0.500 0.500
O1 0.000 0.500 0.500

Entry 6:
# Be2AgIrOs (PBE, relaxed)
# Formation energy   1.69 eV per atom
data_Be2AgIrOs
_chemical_formula_sum 'Be2 Ag1 Ir1 Os1'
_symmetry_space_group_name_H-M 'P 4/m m m'
_symmetry_Int_Tables_number 123
_symmetry_space_group_name_Hall '-P 4 2'
_cell_length_a 4.072
_cell_length_b 4.072
_cell_length_c 4.923
_cell_angle_alpha 90.00
_cell_angle_beta 90.00
_cell_angle_gamma 90.00
loop_
_atom_site_label
_atom_site_fract_x
_atom_site_fract_y
_atom_site_fract_z
Be1 0.000 0.500 0.000
Ag1 0.000 0.000 0.000
Ir1 0.500 0.500 0.500
Os1 0.000 0.000 0.500